The following is a DFT calculation (PBE) of an optimized crystal structure of ErCd2Ag2.

It has space group Imma (No. 74), with a = 3.429 Å, b = 4.710 Å, c = 27.820 Å, α = 90.00°, β = 90.00° and γ = 90.00°. The inequivalent atoms are Er at (0.000, 0.250, 0.072), Cd at (0.000, 0.250, 0.318), Cd at (0.000, 0.250, 0.792), Ag at (0.000, 0.250, 0.525) and Ag at (0.000, 0.250, 0.623).

The calculation puts the energy above the most stable polymorph in this dataset at 33 kJ/mol of formula units. For the formation energy from the elements, the calculation gives -143.9 meV per atom. The density of states at the Fermi level comes out at 1.9 states/eV/f.u.